1.
# PBE CeZrCo2P2, optimized geometry
data_CeZrCo2P2
_chemical_formula_sum 'Ce1 Zr1 Co2 P2'
_symmetry_space_group_name_H-M 'P -3 m 1'
_symmetry_Int_Tables_number 164
_symmetry_space_group_name_Hall '-P 3 2"'
_cell_length_a 3.8348
_cell_length_b 3.8348
_cell_length_c 7.5096
_cell_angle_alpha 90.00
_cell_angle_beta 90.00
_cell_angle_gamma 120.00
loop_
_atom_site_label
_atom_site_fract_x
_atom_site_fract_y
_atom_site_fract_z
_atom_site_occupancy
Ce1 0.0000 0.0000 0.0000 1
Zr1 0.0000 0.0000 0.5000 1
Co1 0.3333 0.6667 0.7503 1
P1 0.3333 0.6667 0.2763 1
# - Energy of formation: -1064 meV per atom

2.
# PBE Hf2Al5Pd2Ru, optimized geometry
data_Hf2Al5Pd2Ru
_chemical_formula_sum 'Hf4 Al10 Pd4 Ru2'
_symmetry_space_group_name_H-M 'P 4/m b m'
_symmetry_Int_Tables_number 127
_symmetry_space_group_name_Hall '-P 4 2ab'
_cell_length_a 10.4236
_cell_length_b 10.4236
_cell_length_c 3.0543
_cell_angle_alpha 90.00
_cell_angle_beta 90.00
_cell_angle_gamma 90.00
loop_
_atom_site_label
_atom_site_fract_x
_atom_site_fract_y
_atom_site_fract_z
_atom_site_occupancy
Hf1 0.1789 0.3211 0.0000 1
Al1 0.0000 0.5000 0.5000 1
Al2 0.0413 0.8076 0.5000 1
Pd1 0.1346 0.6346 0.0000 1
Ru1 0.0000 0.0000 0.0000 1
# - Energy of formation: -560 meV per atom

3.
# PBE Zr4Al, optimized geometry
data_Zr4Al
_chemical_formula_sum 'Zr8 Al2'
_symmetry_space_group_name_H-M 'I 4/m'
_symmetry_Int_Tables_number 87
_symmetry_space_group_name_Hall '-I 4'
_cell_length_a 7.0858
_cell_length_b 7.0858
_cell_length_c 4.3240
_cell_angle_alpha 90.00
_cell_angle_beta 90.00
_cell_angle_gamma 90.00
loop_
_atom_site_label
_atom_site_fract_x
_atom_site_fract_y
_atom_site_fract_z
_atom_site_occupancy
Zr1 0.1100 0.7006 0.0000 1
Al1 0.0000 0.0000 0.5000 1
# - Energy of formation: -171 meV per atom
# - Polymorph energy (0 for the lowest one): 0.0 meV per atom

4.
# PBE La2Pr4YTm2, optimized geometry
data_La2Pr4YTm2
_chemical_formula_sum 'La4 Pr8 Y2 Tm4'
_symmetry_space_group_name_H-M 'C 1 2/m 1'
_symmetry_Int_Tables_number 12
_symmetry_space_group_name_Hall '-C 2y'
_cell_length_a 15.6030
_cell_length_b 5.1974
_cell_length_c 8.1253
_cell_angle_alpha 90.00
_cell_angle_beta 108.74
_cell_angle_gamma 90.00
loop_
_atom_site_label
_atom_site_fract_x
_atom_site_fract_y
_atom_site_fract_z
_atom_site_occupancy
La1 0.1116 0.0000 0.1710 1
Pr1 0.0556 0.5000 0.8306 1
Pr2 0.2208 0.0000 0.8281 1
Y1 0.0000 0.0000 0.5000 1
Tm1 0.1673 0.5000 0.5002 1
# - Energy of formation: 28 meV per atom

5.
# PBE Tl2NiAs, optimized geometry
data_Tl2NiAs
_chemical_formula_sum 'Tl2 Ni1 As1'
_symmetry_space_group_name_H-M 'P 1 2/m 1'
_symmetry_Int_Tables_number 10
_symmetry_space_group_name_Hall '-P 2y'
_cell_length_a 4.2471
_cell_length_b 3.7283
_cell_length_c 5.9632
_cell_angle_alpha 90.00
_cell_angle_beta 109.79
_cell_angle_gamma 90.00
loop_
_atom_site_label
_atom_site_fract_x
_atom_site_fract_y
_atom_site_fract_z
_atom_site_occupancy
Tl1 0.0602 0.0000 0.2651 1
Ni1 0.5000 0.5000 0.5000 1
As1 0.5000 0.5000 0.0000 1
# - Energy of formation: 392 meV per atom
# - Polymorph energy (0 for the lowest one): 474.1 meV per atom

6.
# PBE Pa2Al9Rh3, optimized geometry
data_Pa2Al9Rh3
_chemical_formula_sum 'Pa8 Al36 Rh12'
_symmetry_space_group_name_H-M 'C 1 2/c 1'
_symmetry_Int_Tables_number 15
_symmetry_space_group_name_Hall '-C 2yc'
_cell_length_a 13.2436
_cell_length_b 7.6049
_cell_length_c 10.4317
_cell_angle_alpha 90.00
_cell_angle_beta 115.10
_cell_angle_gamma 90.00
loop_
_atom_site_label
_atom_site_fract_x
_atom_site_fract_y
_atom_site_fract_z
_atom_site_occupancy
Pa1 0.1684 0.0827 0.2492 1
Al1 0.0000 0.3707 0.2500 1
Al2 0.0592 0.0854 0.9254 1
Al3 0.1009 0.4160 0.0543 1
Al4 0.1042 0.3162 0.7479 1
Al5 0.2241 0.4172 0.4281 1
Rh1 0.0856 0.2419 0.5007 1
Rh2 0.2500 0.2500 0.0000 1
# - Energy of formation: -665 meV per atom

7.
# PBE Pr3Sm3ErZn2, optimized geometry
data_Pr3Sm3ErZn2
_chemical_formula_sum 'Pr3 Sm3 Er1 Zn2'
_symmetry_space_group_name_H-M 'P -6 2 m'
_symmetry_Int_Tables_number 189
_symmetry_space_group_name_Hall 'P -6 -2'
_cell_length_a 9.2423
_cell_length_b 9.2423
_cell_length_c 3.6728
_cell_angle_alpha 90.00
_cell_angle_beta 90.00
_cell_angle_gamma 120.00
loop_
_atom_site_label
_atom_site_fract_x
_atom_site_fract_y
_atom_site_fract_z
_atom_site_occupancy
Pr1 0.0000 0.6864 0.0000 1
Sm1 0.0000 0.3749 0.5000 1
Er1 0.0000 0.0000 0.5000 1
Zn1 0.3333 0.6667 0.0000 1
# - Energy of formation: -16 meV per atom

8.
# PBE Pu3SnGe, optimized geometry
data_Pu3SnGe
_chemical_formula_sum 'Pu3 Sn1 Ge1'
_symmetry_space_group_name_H-M 'P m m 2'
_symmetry_Int_Tables_number 25
_symmetry_space_group_name_Hall 'P 2 -2'
_cell_length_a 3.2779
_cell_length_b 5.0809
_cell_length_c 7.5873
_cell_angle_alpha 90.00
_cell_angle_beta 90.00
_cell_angle_gamma 90.00
loop_
_atom_site_label
_atom_site_fract_x
_atom_site_fract_y
_atom_site_fract_z
_atom_site_occupancy
Pu1 0.0000 0.0000 0.0000 1
Pu2 0.0000 0.0000 0.3443 1
Pu3 0.0000 0.5000 0.7231 1
Sn1 0.5000 0.5000 0.1562 1
Ge1 0.5000 0.0000 0.6704 1
# - Energy of formation: -216 meV per atom
# - Polymorph energy (0 for the lowest one): 31.3 meV per atom

What is the energy of formation in the third record?
-171 meV per atom